12
Lattice="5.796 0.000 0.000 -2.898 5.020 0.000 0.000 0.000 5.920" Properties=species:S:1:pos:R:3 comment="SmV2CuO8 (PBE with a Hubbard U, relaxed)" e_tot_ev_per_atom=-7.0724 mass_density_g_cm3=4.28 pbc="T T T"
Sm 0.000 0.000 0.000
O 4.389 0.812 1.677
O 2.898 1.673 3.832
O -1.491 4.207 4.243
O 1.407 0.812 1.677
O 0.000 3.346 2.088
O 0.000 1.625 4.243
O 1.491 4.207 4.243
O 2.898 3.395 1.677
Cu 0.000 0.000 2.960
V 0.000 3.346 3.719
V 2.898 1.673 2.201